DFT (PBE) results for a relaxed structure of LiHgH.

The structure in extended XYZ format:
```
3
Lattice="-1.449 1.449 5.693 1.449 -1.449 5.693 1.449 1.449 -5.693" Properties=species:S:1:pos:R:3 pbc="T T T"
Li 0.000 0.000 0.000
Hg 0.000 0.000 2.995
H 0.000 0.000 5.592
```

Output
symmetry = No. 107
magnetization = 0.0 μB per cell
VASP energy = -1.9726 eV/atom
crystal system = tetragonal